Here is crystalline RbCrS2 at its relaxed geometry from Alexandria. Energies are from PBE-GGA.

It has space group Cmcm (No. 63), with a = 5.0668 Å, b = 21.4454 Å, c = 4.5779 Å, α = 90.00°, β = 90.00° and γ = 90.00°. Symmetry generates all atoms from Rb at (0.0000, 0.1712, 0.2500), Cr at (0.0000, 0.4329, 0.2500), S at (0.0000, 0.3308, 0.2500) and S at (0.0000, 0.4561, 0.7500).

As for the formation energy from raw total energies: -655 meV per atom. The total energy is -5.367 eV/atom.

=====

Here is crystalline Ac2LaSi at its relaxed geometry from Alexandria. Energies are from PBE-GGA.

It has space group P4/mmm (No. 123), with a = 5.1328 Å, b = 5.1328 Å, c = 4.9031 Å, α = 90.00°, β = 90.00° and γ = 90.00°. Symmetry generates all atoms from Ac at (0.0000, 0.5000, 0.0000), La at (0.0000, 0.0000, 0.5000) and Si at (0.5000, 0.5000, 0.5000).

As for the formation energy from raw total energies: -131 meV per atom. The total energy is -4.773 eV/atom. The energy above the most stable polymorph in this dataset comes out at 12 meV/atom.

=====

Here is crystalline TmW2N4 at its relaxed geometry from Alexandria. Energies are from PBE-GGA.

It has space group Cmcm (No. 63), with a = 3.1052 Å, b = 9.9966 Å, c = 10.2239 Å, α = 90.00°, β = 90.00° and γ = 90.00°. Symmetry generates all atoms from Tm at (0.0000, 0.1277, 0.2500), W at (0.0000, 0.3819, 0.0659), N at (0.0000, 0.0000, 0.0000), N at (0.0000, 0.2661, 0.6092) and N at (0.0000, 0.4408, 0.2500).

As for the formation energy from raw total energies: -758 meV per atom. The total energy is -9.855 eV/atom.

=====

Here is crystalline ThBiTe2 at its relaxed geometry from Alexandria. Energies are from PBE-GGA.

It has space group R-3m (No. 166, hexagonal axes), with a = 4.1149 Å, b = 4.1149 Å, c = 31.1368 Å, α = 90.00°, β = 90.00° and γ = 120.00°. Symmetry generates all atoms from Th at (0.0000, 0.0000, 0.0000), Bi at (0.0000, 0.0000, 0.5000) and Te at (0.0000, 0.0000, 0.3996).

As for the formation energy from raw total energies: -570 meV per atom. The total energy is -4.966 eV/atom.

=====

Here is crystalline K5Cd5Hg2 at its relaxed geometry from Alexandria. Energies are from PBE-GGA.

It has space group C2/m (No. 12), with a = 17.6553 Å, b = 5.5490 Å, c = 10.8499 Å, α = 90.00°, β = 127.78° and γ = 90.00°. Symmetry generates all atoms from K at (0.0000, 0.0000, 0.0000), K at (0.1436, 0.0000, 0.4494), K at (0.1589, 0.0000, 0.8432), Cd at (0.0000, 0.5000, 0.5000), Cd at (0.0157, 0.5000, 0.7996), Cd at (0.2310, 0.5000, 0.7271) and Hg at (0.1488, 0.5000, 0.1692).

As for the formation energy: -0.102 eV per atom. The total energy is -0.991 eV/atom.

=====

Here is crystalline BeRu2Rh at its relaxed geometry from Alexandria. Energies are from PBE-GGA.

It has space group P4mm (No. 99), with a = 2.7538 Å, b = 2.7538 Å, c = 6.5508 Å, α = 90.00°, β = 90.00° and γ = 90.00°. Symmetry generates all atoms from Be at (0.0000, 0.0000, 0.0000), Ru at (0.0000, 0.0000, 0.5007), Ru at (0.5000, 0.5000, 0.7724) and Rh at (0.5000, 0.5000, 0.2057).

As for the formation energy: -0.194 eV per atom. The total energy is -7.601 eV/atom.

=====

Here is crystalline K3TiS4 at its relaxed geometry from Alexandria. Energies are from PBE-GGA.

It has space group I4/mmm (No. 139), with a = 7.6335 Å, b = 7.6335 Å, c = 8.4534 Å, α = 90.00°, β = 90.00° and γ = 90.00°. Symmetry generates all atoms from K at (0.0000, 0.0000, 0.0000), K at (0.0000, 0.5000, 0.2500), Ti at (0.0000, 0.0000, 0.5000) and S at (0.2140, 0.2140, 0.5000).

As for the formation energy from raw total energies: -899 meV per atom. The total energy is -4.361 eV/atom. The energy above the most stable polymorph in this dataset comes out at 174 meV/atom.

=====

Here is crystalline VTcBSb2 at its relaxed geometry from Alexandria. Energies are from PBE-GGA.

It has space group P4/mmm (No. 123), with a = 4.6923 Å, b = 4.6923 Å, c = 3.8337 Å, α = 90.00°, β = 90.00° and γ = 90.00°. Symmetry generates all atoms from V at (0.0000, 0.0000, 0.0000), Tc at (0.5000, 0.5000, 0.0000), B at (0.0000, 0.0000, 0.5000) and Sb at (0.0000, 0.5000, 0.5000).

As for the formation energy from raw total energies: 777 meV per atom. The total energy is -6.104 eV/atom.

=====

Here is crystalline PbAuI2 at its relaxed geometry from Alexandria. Energies are from PBE-GGA.

It has space group I-42d (No. 122), with a = 8.2815 Å, b = 8.2815 Å, c = 7.9949 Å, α = 90.00°, β = 90.00° and γ = 90.00°. Symmetry generates all atoms from Pb at (0.0000, 0.0000, 0.0000), Au at (0.0000, 0.0000, 0.5000) and I at (0.2197, 0.2500, 0.6250).

As for the formation energy from raw total energies: 40 meV per atom. The total energy is -2.481 eV/atom. The energy above the most stable polymorph in this dataset comes out at 0 meV/atom.

=====

Here is crystalline Sm4Dy5Mg at its relaxed geometry from Alexandria. Energies are from PBE-GGA.

It has space group P4/mmm (No. 123), with a = 3.5947 Å, b = 3.5947 Å, c = 24.4314 Å, α = 90.00°, β = 90.00° and γ = 90.00°. Symmetry generates all atoms from Sm at (0.0000, 0.0000, 0.1033), Sm at (0.0000, 0.0000, 0.3108), Dy at (0.5000, 0.5000, 0.0000), Dy at (0.5000, 0.5000, 0.2064), Dy at (0.5000, 0.5000, 0.4116) and Mg at (0.0000, 0.0000, 0.5000).

As for the formation energy: -0.001 eV per atom. The total energy is -4.349 eV/atom. The energy above the most stable polymorph in this dataset comes out at 0 meV/atom.

=====

Here is crystalline SrMgSi3 at its relaxed geometry from Alexandria. Energies are from PBE-GGA.

It has space group Pm-3m (No. 221), with a = 5.4931 Å, b = 5.4931 Å, c = 5.4931 Å, α = 90.00°, β = 90.00° and γ = 90.00°. Symmetry generates all atoms from Sr at (0.0000, 0.0000, 0.0000), Mg at (0.5000, 0.5000, 0.5000) and Si at (0.0000, 0.0000, 0.5000).

As for the formation energy from raw total energies: 1539 meV per atom. The total energy is -2.370 eV/atom. The energy above the most stable polymorph in this dataset comes out at 1054 meV/atom.

=====

Here is crystalline RbGaO2 at its relaxed geometry from Alexandria. Energies are from PBE-GGA.

It has space group P-1 (No. 2), with a = 5.2774 Å, b = 6.4405 Å, c = 6.4814 Å, α = 101.45°, β = 111.91° and γ = 111.83°. Symmetry generates all atoms from Rb at (0.2503, 0.1548, 0.3437), Ga at (0.2504, 0.5133, 0.9870), O at (0.1499, 0.5593, 0.2413) and O at (0.3527, 0.2585, 0.9465).

As for the formation energy from raw total energies: -1728 meV per atom. The total energy is -5.206 eV/atom.

=====

Here is crystalline BaTiCd at its relaxed geometry from Alexandria. Energies are from PBE-GGA.

It has space group Pnma (No. 62), with a = 8.8505 Å, b = 4.0589 Å, c = 10.9237 Å, α = 90.00°, β = 90.00° and γ = 90.00°. Symmetry generates all atoms from Ba at (0.0628, 0.2500, 0.1849), Ti at (0.0848, 0.2500, 0.5448) and Cd at (0.2415, 0.7500, 0.4000).

As for the formation energy: 0.230 eV per atom. The total energy is -3.348 eV/atom. The energy above the most stable polymorph in this dataset comes out at 38 meV/atom.

=====

Here is crystalline Tl3VTc at its relaxed geometry from Alexandria. Energies are from PBE-GGA.

It has space group Pm-3m (No. 221), with a = 5.2053 Å, b = 5.2053 Å, c = 5.2053 Å, α = 90.00°, β = 90.00° and γ = 90.00°. Symmetry generates all atoms from Tl at (0.0000, 0.0000, 0.5000), V at (0.0000, 0.0000, 0.0000) and Tc at (0.5000, 0.5000, 0.5000).

As for the formation energy: 1.357 eV per atom. The total energy is -3.960 eV/atom. The energy above the most stable polymorph in this dataset comes out at 281 meV/atom.

=====

Here is crystalline BaLi2Mo at its relaxed geometry from Alexandria. Energies are from PBE-GGA.

It has space group Immm (No. 71), with a = 3.1056 Å, b = 5.4206 Å, c = 11.5679 Å, α = 90.00°, β = 90.00° and γ = 90.00°. Symmetry generates all atoms from Ba at (0.0000, 0.0000, 0.0000), Li at (0.0000, 0.5000, 0.2102) and Mo at (0.0000, 0.0000, 0.5000).

As for the formation energy: 0.809 eV per atom. The total energy is -3.336 eV/atom. The energy above the most stable polymorph in this dataset comes out at 79 meV/atom.

=====

Here is crystalline TbSm2Sc at its relaxed geometry from Alexandria. Energies are from PBE-GGA.

It has space group C2/c (No. 15), with a = 5.4766 Å, b = 9.5081 Å, c = 10.0153 Å, α = 90.00°, β = 90.26° and γ = 90.00°. Symmetry generates all atoms from Tb at (0.0000, 0.0010, 0.2500), Sm at (0.0007, 0.3340, 0.4150) and Sc at (0.0000, 0.3323, 0.7500).

As for the formation energy: 0.225 eV per atom. The total energy is -4.875 eV/atom. The energy above the most stable polymorph in this dataset comes out at 186 meV/atom.

=====

Here is crystalline La4Tb8Ho at its relaxed geometry from Alexandria. Energies are from PBE-GGA.

It has space group R-3m (No. 166, hexagonal axes), with a = 11.0875 Å, b = 11.0875 Å, c = 13.5025 Å, α = 90.00°, β = 90.00° and γ = 120.00°. Symmetry generates all atoms from La at (0.0000, 0.0000, 0.0000), La at (0.0000, 0.5000, 0.0000), Tb at (0.0000, 0.0000, 0.2389), Tb at (0.0138, 0.5069, 0.7454) and Ho at (0.0000, 0.0000, 0.5000).

As for the formation energy: 0.531 eV per atom. The total energy is -4.186 eV/atom.

=====

Here is crystalline Sr2MoAs at its relaxed geometry from Alexandria. Energies are from PBE-GGA.

It has space group I-42d (No. 122), with a = 11.3237 Å, b = 11.3237 Å, c = 4.8313 Å, α = 90.00°, β = 90.00° and γ = 90.00°. Symmetry generates all atoms from Sr at (0.0884, 0.2500, 0.1250), Mo at (0.0000, 0.0000, 0.5000) and As at (0.0000, 0.0000, 0.0000).

As for the formation energy: 0.241 eV per atom. The total energy is -4.470 eV/atom.

=====

Here is crystalline La2ZnInAu6 at its relaxed geometry from Alexandria. Energies are from PBE-GGA.

It has space group P-1 (No. 2), with a = 5.5690 Å, b = 5.8217 Å, c = 7.7814 Å, α = 97.22°, β = 107.36° and γ = 102.20°. Symmetry generates all atoms from La at (0.0440, 0.2794, 0.2111), Zn at (0.5000, 0.0000, 0.5000), In at (0.5000, 0.5000, 0.0000), Au at (0.0226, 0.1980, 0.6563), Au at (0.3581, 0.5974, 0.6084) and Au at (0.4185, 0.9276, 0.1500).

As for the formation energy: -0.501 eV per atom. The total energy is -3.854 eV/atom.

=====

Here is crystalline AcPmInN3 at its relaxed geometry from Alexandria. Energies are from PBE-GGA.

It has space group P2_1/m (No. 11), with a = 6.1615 Å, b = 3.6007 Å, c = 9.1382 Å, α = 90.00°, β = 98.59° and γ = 90.00°. Symmetry generates all atoms from Ac at (0.1680, 0.2500, 0.1899), Pm at (0.2593, 0.7500, 0.5489), In at (0.3449, 0.2500, 0.8522), N at (0.0419, 0.2500, 0.6585), N at (0.2559, 0.7500, 0.9768) and N at (0.4614, 0.7500, 0.3357).

As for the formation energy from raw total energies: -796 meV per atom. The total energy is -6.891 eV/atom.

=====

Here is crystalline LaTh2Ge2 at its relaxed geometry from Alexandria. Energies are from PBE-GGA.

It has space group P4/mbm (No. 127), with a = 8.0483 Å, b = 8.0483 Å, c = 4.1840 Å, α = 90.00°, β = 90.00° and γ = 90.00°. Symmetry generates all atoms from La at (0.0000, 0.0000, 0.0000), Th at (0.1762, 0.3238, 0.5000) and Ge at (0.1201, 0.6201, 0.0000).

As for the formation energy: -0.683 eV per atom. The total energy is -6.484 eV/atom.

=====

Here is crystalline Rb2HgPbI6 at its relaxed geometry from Alexandria. Energies are from PBE-GGA.

It has space group P1 (No. 1), with a = 8.4358 Å, b = 8.7483 Å, c = 8.9745 Å, α = 118.01°, β = 103.01° and γ = 104.21°. Symmetry generates all atoms from Rb at (0.0000, 0.0000, 0.0000), Rb at (0.3391, 0.8193, 0.4309), Hg at (0.7375, 0.5473, 0.2305), Pb at (0.1276, 0.3933, 0.6821), I at (0.3254, 0.8073, 0.8337), I at (0.3479, 0.2584, 0.4692), I at (0.3564, 0.4005, 0.0401), I at (0.8079, 0.2898, 0.3180), I at (0.8298, 0.9216, 0.5365) and I at (0.9151, 0.5645, 0.0007).

As for the formation energy from raw total energies: -865 meV per atom. The total energy is -2.389 eV/atom. The energy above the most stable polymorph in this dataset comes out at 0 meV/atom.

=====

Here is crystalline BaCa3Nb at its relaxed geometry from Alexandria. Energies are from PBE-GGA.

It has space group Pm-3m (No. 221), with a = 5.6646 Å, b = 5.6646 Å, c = 5.6646 Å, α = 90.00°, β = 90.00° and γ = 90.00°. Symmetry generates all atoms from Ba at (0.0000, 0.0000, 0.0000), Ca at (0.0000, 0.0000, 0.5000) and Nb at (0.5000, 0.5000, 0.5000).

As for the formation energy: 1.700 eV per atom. The total energy is -1.899 eV/atom. The energy above the most stable polymorph in this dataset comes out at 1086 meV/atom.

=====

Here is crystalline CaMg3Hg at its relaxed geometry from Alexandria. Energies are from PBE-GGA.

It has space group P6_3/mmc (No. 194), with a = 7.0896 Å, b = 7.0896 Å, c = 6.2112 Å, α = 90.00°, β = 90.00° and γ = 120.00°. Symmetry generates all atoms from Ca at (0.3333, 0.6667, 0.2500), Mg at (0.1911, 0.3821, 0.7500) and Hg at (0.0000, 0.0000, 0.0000).

As for the formation energy: -0.069 eV per atom. The total energy is -1.486 eV/atom. The energy above the most stable polymorph in this dataset comes out at 135 meV/atom.